1.
4
Lattice="3.7395 0.0000 0.0000 0.0000 3.7827 0.0000 0.0000 0.0000 3.8758" Properties=species:S:1:pos:R:3 comment="GGA-PBE TiCoPtRh, optimized geometry" spacegroup=Pmmm total_energy_ev_per_atom=-7.7334 pbc="T T T"
Co 0.0000 1.8914 1.9379
Rh 1.8698 1.8914 0.0000
Ti 0.0000 0.0000 0.0000
Pt 1.8698 0.0000 1.9379

---

2.
4
Lattice="-0.3614 -4.0309 -1.5121 2.6947 -1.4049 -3.0709 3.0155 -2.9433 0.9535" Properties=species:S:1:pos:R:3 comment="GGA-PBE TiCoPtRh, optimized geometry" spacegroup=F-43m total_energy_ev_per_atom=-7.5124 pbc="T T T"
Rh 1.3372 -2.0948 -0.9074
Co 2.6744 -4.1895 -1.8147
Ti 0.0000 0.0000 0.0000
Pt 4.0116 -6.2843 -2.7221

---

3.
4
Lattice="3.7102 0.0000 0.0000 0.0000 3.7626 0.0000 0.0000 0.0000 3.8461" Properties=species:S:1:pos:R:3 comment="GGA-PBE VCoPtRh, optimized geometry" spacegroup=Pmmm total_energy_ev_per_atom=-7.7691 pbc="T T T"
Pt 0.0000 0.0000 0.0000
Rh 0.0000 1.8813 1.9231
Co 1.8551 1.8813 0.0000
V 1.8551 0.0000 1.9231

---

4.
20
Lattice="-2.9968 -7.0550 -1.7286 2.1659 0.1468 7.5518 -5.4285 5.5358 -1.2760" Properties=species:S:1:pos:R:3 comment="GGA-PBE V4Co3Pt12Rh, optimized geometry" spacegroup=Im-3 total_energy_ev_per_atom=-6.4319 pbc="T T T"
Pt -3.5009 -1.8057 4.4268
Co -4.2127 -0.7596 -1.5023
V 1.0829 0.0734 3.7759
Pt -4.4024 3.8965 0.7419
Pt -2.7586 0.4333 0.1204
Pt -6.6353 -0.2657 -1.2621
Co -1.6313 2.8413 3.1379
Pt -3.7542 -4.4958 -0.8988
Rh 0.0000 0.0000 0.0000
V -3.1298 -0.6862 2.2736
Pt -1.0040 0.5087 2.5583
Co -0.4155 -3.4541 2.9116
Pt -2.5053 3.1234 5.4460
Pt 0.3758 -1.1067 5.8093
Pt -4.7847 0.7178 3.4212
Pt -1.4748 -2.0902 1.1260
V -2.7143 2.7679 -0.6380
Pt -5.2555 -1.8811 1.9889
Pt -1.8571 -5.2689 3.8053
V -1.4984 -3.5275 -0.8643

---

5.
20
Lattice="3.7380 0.0000 0.0000 0.0000 8.5090 0.0000 0.0000 0.0000 8.5090" Properties=species:S:1:pos:R:3 comment="GGA-PBE V5Co2Pt2Rh, optimized geometry" spacegroup=P4/mbm total_energy_ev_per_atom=-8.0506 pbc="T T T"
Co 0.0000 3.2364 1.0181
V 1.8690 7.9099 1.7419
V 1.8690 0.0000 4.2545
V 1.8690 2.5126 4.8536
V 1.8690 3.6554 2.5126
Co 0.0000 7.4909 3.2364
V 1.8690 4.8536 5.9964
V 1.8690 4.2545 0.0000
Pt 0.0000 7.0149 5.7486
Pt 0.0000 1.4941 2.7604
Co 0.0000 5.2726 7.4909
V 1.8690 6.7671 7.9099
V 1.8690 0.5991 6.7671
Rh 0.0000 0.0000 0.0000
V 1.8690 1.7419 0.5991
Pt 0.0000 5.7486 1.4941
V 1.8690 5.9964 3.6554
Co 0.0000 1.0181 5.2726
Rh 0.0000 4.2545 4.2545
Pt 0.0000 2.7604 7.0149

---

6.
4
Lattice="-2.4547 1.4445 3.1808 -2.8101 -2.6068 1.8808 0.6759 -1.3417 3.9965" Properties=species:S:1:pos:R:3 comment="GGA-PBE ZnCoPtRh, optimized geometry" spacegroup=F-43m total_energy_ev_per_atom=-5.6125 pbc="T T T"
Zn 0.0000 0.0000 0.0000
Co -2.2945 -1.2520 4.5290
Rh -1.1472 -0.6260 2.2645
Pt -3.4417 -1.8780 6.7935

---

7.
16
Lattice="-3.2118 3.5516 -2.8264 -2.3094 -3.6046 3.5485 0.8273 6.1414 6.7770" Properties=species:S:1:pos:R:3 comment="GGA-PBE CoRuPt14, optimized geometry" spacegroup=Amm2 total_energy_ev_per_atom=-6.2952 pbc="T T T"
Pt -3.5430 1.5566 5.2437
Pt -0.8841 5.4152 4.4105
Pt -3.6351 5.3888 4.7702
Pt -4.1004 -0.3429 0.8114
Pt -2.4827 7.2534 3.0202
Ru -1.9327 -0.2410 6.6761
Pt -1.3443 -0.3165 0.4509
Pt -2.9475 1.4557 -0.9594
Pt -2.4962 -2.1232 2.2288
Pt -0.7789 1.5831 4.8822
Pt -4.0324 2.4392 1.5154
Pt -2.8907 4.2245 -0.3221
Co -2.3846 3.3430 3.4834
Pt -2.0325 3.6692 6.1996
Pt -2.4387 0.6539 2.8722
Pt -1.2814 2.4657 1.1556

---

8.
3
Lattice="4.2192 0.0000 0.0000 -2.1096 3.6540 0.0000 0.0000 0.0000 2.7022" Properties=species:S:1:pos:R:3 comment="GGA-PBE CoRuPt, optimized geometry" spacegroup=P-6m2 total_energy_ev_per_atom=-7.2587 pbc="T T T"
Co 0.0000 0.0000 2.2520
Ru 2.1096 1.2180 2.2519
Pt 0.0000 2.4360 0.9005

---

9.
5
Lattice="4.7455 0.0000 0.0000 0.0000 4.7455 0.0000 0.0000 0.0000 4.7455" Properties=species:S:1:pos:R:3 comment="GGA-PBE CoRuPt3, optimized geometry" spacegroup=Pm-3m total_energy_ev_per_atom=-5.1062 pbc="T T T"
Pt 0.0000 0.0000 2.3728
Ru 0.0000 0.0000 0.0000
Pt 2.3728 0.0000 0.0000
Co 2.3728 2.3728 2.3728
Pt 0.0000 2.3728 0.0000

---

10.
3
Lattice="2.6989 0.0000 0.0000 -1.3494 2.3373 0.0000 0.0000 0.0000 6.4991" Properties=species:S:1:pos:R:3 comment="GGA-PBE CoRuPt, optimized geometry" spacegroup=P3m1 total_energy_ev_per_atom=-7.3896 pbc="T T T"
Ru 0.0000 1.5582 4.4460
Co 0.0000 0.0000 6.4362
Pt 1.3494 0.7791 2.1159

---

11.
16
Lattice="3.8980 0.0000 0.0000 0.0000 3.8980 0.0000 0.0000 0.0000 15.6031" Properties=species:S:1:pos:R:3 comment="GGA-PBE Co3RuPt12, optimized geometry" spacegroup=P4/mmm total_energy_ev_per_atom=-6.4841 pbc="T T T"
Pt 1.9490 0.0000 5.8632
Pt 0.0000 1.9490 1.9849
Pt 1.9490 1.9490 0.0000
Ru 0.0000 0.0000 0.0000
Co 0.0000 0.0000 11.6809
Pt 1.9490 0.0000 1.9849
Pt 0.0000 1.9490 13.6182
Pt 1.9490 0.0000 13.6182
Co 0.0000 0.0000 7.8016
Pt 1.9490 1.9490 7.8016
Pt 0.0000 1.9490 5.8632
Pt 1.9490 0.0000 9.7399
Pt 1.9490 1.9490 11.6692
Co 0.0000 0.0000 3.9222
Pt 1.9490 1.9490 3.9339
Pt 0.0000 1.9490 9.7399

---

12.
3
Lattice="4.0022 0.0000 0.0000 2.0011 3.4660 0.0000 2.0011 1.1553 3.2678" Properties=species:S:1:pos:R:3 comment="GGA-PBE CoRuPt, optimized geometry" spacegroup=F-43m total_energy_ev_per_atom=-7.0266 pbc="T T T"
Ru 4.0022 2.3107 1.6339
Pt 0.0000 0.0000 0.0000
Co 6.0033 3.4660 2.4508